(1)
{
  "formula": "Na2TiBeCu",
  "functional": "PBE",
  "state": "relaxed",
  "lattice_angstrom": [[4.964, 0.000, 0.000], [0.000, 4.638, 0.000], [0.000, 0.000, 4.964]],
  "species": ["Be", "Ti", "Na", "Na", "Cu"],
  "frac_coords": [[0.000, 0.000, 0.000], [0.000, 0.500, 0.000], [0.000, 0.000, 0.500], [0.500, 0.000, 0.000], [0.500, 0.500, 0.500]],
  "dos_ef_per_ev_cell": 4.29,
  "spacegroup": "P4/mmm",
  "total_magnetization_mub_per_cell": 0.9,
  "vol_a3_per_atom": 22.86,
  "e_form_ev_per_fu": 5.1
}

(2)
{
  "formula": "Na2BeTlCu",
  "functional": "PBE",
  "state": "relaxed",
  "lattice_angstrom": [[-3.394, 2.734, 2.959], [-1.308, -4.194, 2.374], [3.785, 0.838, 3.567]],
  "species": ["Cu", "Be", "Na", "Na", "Tl"],
  "frac_coords": [[0.000, 0.000, 0.000], [0.500, 0.500, 0.500], [0.500, 0.000, 0.000], [0.000, 0.000, 0.500], [0.000, 0.500, 0.000]],
  "dos_ef_per_ev_cell": 2.49,
  "spacegroup": "P4/mmm",
  "total_magnetization_mub_per_cell": 0.0,
  "vol_a3_per_atom": 27.71,
  "e_form_ev_per_fu": 3.5
}

(3)
{
  "formula": "BeNbCu3",
  "functional": "PBE",
  "state": "relaxed",
  "lattice_angstrom": [[4.026, 0.000, 0.000], [0.000, 4.026, 0.000], [0.000, 0.000, 4.026]],
  "species": ["Be", "Cu", "Cu", "Cu", "Nb"],
  "frac_coords": [[0.000, 0.000, 0.000], [0.000, 0.000, 0.500], [0.500, 0.000, 0.000], [0.000, 0.500, 0.000], [0.500, 0.500, 0.500]],
  "dos_ef_per_ev_cell": 4.44,
  "spacegroup": "Pm-3m",
  "total_magnetization_mub_per_cell": 0.0,
  "vol_a3_per_atom": 13.05,
  "relative_energy_mev_per_atom": 0,
  "e_form_ev_per_fu": 1.9
}

(4)
{
  "formula": "BeNbCu3",
  "functional": "PBE",
  "state": "relaxed",
  "lattice_angstrom": [[4.752, 0.000, 0.000], [0.000, 4.752, 0.000], [0.000, 0.000, 4.752]],
  "species": ["Be", "Cu", "Cu", "Cu", "Nb"],
  "frac_coords": [[0.500, 0.500, 0.500], [0.000, 0.000, 0.500], [0.500, 0.000, 0.000], [0.000, 0.500, 0.000], [0.000, 0.000, 0.000]],
  "dos_ef_per_ev_cell": 3.94,
  "spacegroup": "Pm-3m",
  "total_magnetization_mub_per_cell": 0.0,
  "vol_a3_per_atom": 21.47,
  "relative_energy_mev_per_atom": 1447,
  "e_form_ev_per_fu": 9.1
}

(5)
{
  "formula": "Be10NbCu",
  "functional": "PBE",
  "state": "relaxed",
  "lattice_angstrom": [[-2.259, 1.343, -2.281], [-2.759, -3.094, 0.910], [-2.991, 4.279, 5.482]],
  "species": ["Nb", "Cu", "Be", "Be", "Be", "Be", "Be", "Be", "Be", "Be", "Be", "Be"],
  "frac_coords": [[0.000, 0.500, 0.500], [0.000, 0.000, 0.000], [0.500, 0.739, 0.257], [0.000, 0.500, 0.160], [0.000, 0.500, 0.840], [0.000, 0.000, 0.311], [0.500, 0.261, 0.743], [0.500, 0.500, 0.000], [0.500, 0.261, 0.257], [0.000, 0.000, 0.689], [0.500, 0.739, 0.743], [0.500, 0.000, 0.500]],
  "dos_ef_per_ev_cell": 2.62,
  "spacegroup": "Pmmm",
  "total_magnetization_mub_per_cell": 0.0,
  "vol_a3_per_atom": 9.32,
  "e_form_ev_per_fu": -1.3
}

(6)
{
  "formula": "Be16Nb2Cu",
  "functional": "PBE",
  "state": "relaxed",
  "lattice_angstrom": [[5.566, 0.026, 0.657], [0.587, 5.535, 0.657], [0.029, 0.026, 5.605]],
  "species": ["Be", "Be", "Be", "Be", "Be", "Be", "Be", "Be", "Be", "Be", "Be", "Be", "Be", "Be", "Be", "Be", "Nb", "Nb", "Cu"],
  "frac_coords": [[0.295, 0.999, 0.704], [0.001, 0.497, 0.001], [0.704, 0.999, 0.295], [0.704, 0.295, 0.999], [0.999, 0.704, 0.295], [0.497, 0.001, 0.001], [0.346, 0.346, 0.839], [0.162, 0.652, 0.652], [0.839, 0.346, 0.346], [0.295, 0.704, 0.999], [0.999, 0.295, 0.704], [0.652, 0.652, 0.162], [0.104, 0.104, 0.104], [0.346, 0.839, 0.346], [0.652, 0.162, 0.652], [0.001, 0.001, 0.497], [0.657, 0.657, 0.657], [0.339, 0.339, 0.339], [0.905, 0.905, 0.905]],
  "dos_ef_per_ev_cell": 4.18,
  "spacegroup": "R3m",
  "total_magnetization_mub_per_cell": 0.0,
  "vol_a3_per_atom": 9.07,
  "e_form_ev_per_fu": -4.1
}

(7)
{
  "formula": "Be8Nb3Cu",
  "functional": "PBE",
  "state": "relaxed",
  "lattice_angstrom": [[-4.195, 0.509, 1.713], [-1.837, -3.303, 2.551], [0.840, 2.164, 7.482]],
  "species": ["Nb", "Nb", "Nb", "Be", "Be", "Be", "Be", "Be", "Be", "Be", "Be", "Cu"],
  "frac_coords": [[0.005, 0.005, 0.985], [0.498, 0.498, 0.507], [0.624, 0.624, 0.127], [0.058, 0.058, 0.314], [0.560, 0.560, 0.817], [0.570, 0.058, 0.314], [0.313, 0.313, 0.062], [0.063, 0.560, 0.817], [0.560, 0.063, 0.817], [0.814, 0.814, 0.557], [0.058, 0.570, 0.314], [0.127, 0.127, 0.619]],
  "dos_ef_per_ev_cell": 7.16,
  "spacegroup": "R3m",
  "total_magnetization_mub_per_cell": 0.0,
  "vol_a3_per_atom": 11.07,
  "e_form_ev_per_fu": -1.5
}

(8)
{
  "formula": "Be9NbCu2",
  "functional": "PBE",
  "state": "relaxed",
  "lattice_angstrom": [[-3.831, 0.905, -1.854], [-3.700, -0.810, 2.143], [-2.329, 6.311, 2.785]],
  "species": ["Be", "Be", "Be", "Be", "Be", "Be", "Be", "Be", "Be", "Cu", "Cu", "Nb"],
  "frac_coords": [[0.083, 0.584, 0.748], [0.416, 0.416, 0.252], [0.917, 0.416, 0.252], [0.667, 0.667, 0.998], [0.584, 0.584, 0.748], [0.333, 0.333, 0.002], [0.416, 0.917, 0.252], [0.584, 0.083, 0.748], [0.500, 0.500, 0.500], [0.143, 0.143, 0.572], [0.857, 0.857, 0.428], [0.000, 0.000, 0.000]],
  "dos_ef_per_ev_cell": 3.74,
  "spacegroup": "R-3m",
  "total_magnetization_mub_per_cell": 0.0,
  "vol_a3_per_atom": 9.34,
  "e_form_ev_per_fu": -1.6
}

(9)
{
  "formula": "BeNb3Cu",
  "functional": "PBE",
  "state": "relaxed",
  "lattice_angstrom": [[4.386, 0.000, 0.000], [0.000, 4.386, 0.000], [0.000, 0.000, 4.386]],
  "species": ["Nb", "Nb", "Nb", "Cu", "Be"],
  "frac_coords": [[0.500, 0.000, 0.000], [0.000, 0.500, 0.000], [0.000, 0.000, 0.500], [0.500, 0.500, 0.500], [0.000, 0.000, 0.000]],
  "dos_ef_per_ev_cell": 9.14,
  "spacegroup": "Pm-3m",
  "total_magnetization_mub_per_cell": 0.0,
  "vol_a3_per_atom": 16.88,
  "relative_energy_mev_per_atom": 0,
  "e_form_ev_per_fu": 3.3
}

(10)
{
  "formula": "Be2Nb2CuNi5",
  "functional": "PBE",
  "state": "relaxed",
  "lattice_angstrom": [[2.919, 0.000, 0.000], [0.000, 8.942, 0.000], [0.000, 0.000, 8.942]],
  "species": ["Nb", "Nb", "Nb", "Nb", "Ni", "Ni", "Ni", "Ni", "Ni", "Ni", "Ni", "Ni", "Ni", "Ni", "Be", "Be", "Be", "Be", "Cu", "Cu"],
  "frac_coords": [[0.000, 0.678, 0.178], [0.000, 0.822, 0.678], [0.000, 0.178, 0.322], [0.000, 0.322, 0.822], [0.500, 0.939, 0.210], [0.500, 0.710, 0.439], [0.500, 0.290, 0.561], [0.500, 0.061, 0.790], [0.500, 0.500, 0.000], [0.500, 0.000, 0.500], [0.500, 0.790, 0.939], [0.500, 0.439, 0.290], [0.500, 0.210, 0.061], [0.500, 0.561, 0.710], [0.000, 0.621, 0.879], [0.000, 0.121, 0.621], [0.000, 0.379, 0.121], [0.000, 0.879, 0.379], [0.000, 0.500, 0.500], [0.000, 0.000, 0.000]],
  "dos_ef_per_ev_cell": 17.18,
  "spacegroup": "P4/mbm",
  "total_magnetization_mub_per_cell": 0.0,
  "vol_a3_per_atom": 11.67,
  "e_form_ev_per_fu": -1.9
}

(11)
{
  "formula": "Rb2BeNbCu",
  "functional": "PBE",
  "state": "relaxed",
  "lattice_angstrom": [[-5.102, 4.737, -0.366], [-2.075, -1.915, 4.137], [3.772, 4.365, 3.913]],
  "species": ["Cu", "Nb", "Be", "Rb", "Rb"],
  "frac_coords": [[0.000, 0.500, 0.000], [0.000, 0.000, 0.000], [0.500, 0.500, 0.500], [0.000, 0.000, 0.500], [0.500, 0.000, 0.000]],
  "dos_ef_per_ev_cell": 4.91,
  "spacegroup": "P4/mmm",
  "total_magnetization_mub_per_cell": 4.6,
  "vol_a3_per_atom": 48.68,
  "e_form_ev_per_fu": 8.4
}

(12)
{
  "formula": "Be2Nb2CuRh5",
  "functional": "PBE",
  "state": "relaxed",
  "lattice_angstrom": [[-0.622, -3.091, 0.145], [8.841, -1.684, 2.040], [-1.920, 0.808, 8.990]],
  "species": ["Nb", "Nb", "Nb", "Nb", "Rh", "Rh", "Rh", "Rh", "Rh", "Rh", "Rh", "Rh", "Rh", "Rh", "Cu", "Cu", "Be", "Be", "Be", "Be"],
  "frac_coords": [[0.000, 0.324, 0.824], [0.000, 0.676, 0.176], [0.000, 0.176, 0.324], [0.000, 0.824, 0.676], [0.500, 0.709, 0.430], [0.500, 0.570, 0.709], [0.500, 0.930, 0.209], [0.500, 0.500, 0.000], [0.500, 0.430, 0.291], [0.500, 0.291, 0.570], [0.500, 0.000, 0.500], [0.500, 0.209, 0.070], [0.500, 0.791, 0.930], [0.500, 0.070, 0.791], [0.000, 0.500, 0.500], [0.000, 0.000, 0.000], [0.000, 0.876, 0.376], [0.000, 0.624, 0.876], [0.000, 0.376, 0.124], [0.000, 0.124, 0.624]],
  "dos_ef_per_ev_cell": 15.06,
  "spacegroup": "P4/mbm",
  "total_magnetization_mub_per_cell": 0.0,
  "vol_a3_per_atom": 13.44,
  "e_form_ev_per_fu": -4.3
}

(13)
{
  "formula": "BeNbCu2S",
  "functional": "PBE",
  "state": "relaxed",
  "lattice_angstrom": [[-4.116, -2.322, -0.478], [2.028, -2.951, -3.121], [1.195, -2.829, 3.452]],
  "species": ["Be", "Cu", "Cu", "Nb", "S"],
  "frac_coords": [[0.000, 0.000, 0.500], [0.500, 0.000, 0.000], [0.000, 0.500, 0.000], [0.000, 0.000, 0.000], [0.500, 0.500, 0.500]],
  "dos_ef_per_ev_cell": 4.83,
  "spacegroup": "P4/mmm",
  "total_magnetization_mub_per_cell": 0.0,
  "vol_a3_per_atom": 20.85,
  "raw_formation_energy_ev_per_atom": 1.721
}

(14)
{
  "formula": "SrBe2NbCu",
  "functional": "PBE",
  "state": "relaxed",
  "lattice_angstrom": [[4.737, 0.000, 0.000], [0.000, 4.829, 0.000], [0.000, 0.000, 4.737]],
  "species": ["Be", "Be", "Nb", "Sr", "Cu"],
  "frac_coords": [[0.500, 0.000, 0.000], [0.000, 0.000, 0.500], [0.000, 0.000, 0.000], [0.500, 0.500, 0.500], [0.000, 0.500, 0.000]],
  "dos_ef_per_ev_cell": 5.58,
  "spacegroup": "P4/mmm",
  "total_magnetization_mub_per_cell": 0.0,
  "vol_a3_per_atom": 21.67,
  "e_form_ev_per_fu": 4.1
}

(15)
{
  "formula": "TiBeNbCu2",
  "functional": "PBE",
  "state": "relaxed",
  "lattice_angstrom": [[4.781, 0.000, 0.000], [0.000, 4.568, 0.000], [0.000, 0.000, 4.781]],
  "species": ["Cu", "Cu", "Nb", "Be", "Ti"],
  "frac_coords": [[0.500, 0.000, 0.000], [0.000, 0.000, 0.500], [0.000, 0.000, 0.000], [0.500, 0.500, 0.500], [0.000, 0.500, 0.000]],
  "dos_ef_per_ev_cell": 5.14,
  "spacegroup": "P4/mmm",
  "total_magnetization_mub_per_cell": 0.0,
  "vol_a3_per_atom": 20.89,
  "e_form_ev_per_fu": 7.9
}

(16)
{
  "formula": "TiBeNbCu",
  "functional": "PBE",
  "state": "relaxed",
  "lattice_angstrom": [[-0.885, -3.429, -2.459], [2.890, -1.389, -2.882], [2.082, -3.718, 0.655]],
  "species": ["Nb", "Ti", "Be", "Cu"],
  "frac_coords": [[0.750, 0.750, 0.750], [0.250, 0.250, 0.250], [0.000, 0.000, 0.000], [0.500, 0.500, 0.500]],
  "dos_ef_per_ev_cell": 2.24,
  "spacegroup": "F-43m",
  "total_magnetization_mub_per_cell": 0.0,
  "vol_a3_per_atom": 14.17,
  "e_form_ev_per_fu": 0.1
}

(17)
{
  "formula": "Be2NbVCu",
  "functional": "PBE",
  "state": "relaxed",
  "lattice_angstrom": [[3.924, 0.000, 0.000], [0.000, 4.471, 0.000], [0.000, 0.000, 3.924]],
  "species": ["Be", "Be", "V", "Cu", "Nb"],
  "frac_coords": [[0.500, 0.000, 0.000], [0.000, 0.000, 0.500], [0.000, 0.500, 0.000], [0.000, 0.000, 0.000], [0.500, 0.500, 0.500]],
  "dos_ef_per_ev_cell": 3.59,
  "spacegroup": "P4/mmm",
  "total_magnetization_mub_per_cell": 0.0,
  "vol_a3_per_atom": 13.77,
  "e_form_ev_per_fu": 3.2
}

(18)
{
  "formula": "NdBe4Cu8",
  "functional": "PBE",
  "state": "relaxed",
  "lattice_angstrom": [[-3.297, 1.771, -2.701], [0.342, -2.294, -5.865], [-5.241, -3.504, 0.157]],
  "species": ["Nd", "Cu", "Cu", "Cu", "Cu", "Cu", "Cu", "Cu", "Cu", "Be", "Be", "Be", "Be"],
  "frac_coords": [[0.000, 0.000, 0.000], [0.351, 0.649, 0.649], [0.000, 0.351, 0.649], [0.273, 0.227, 0.227], [0.727, 0.773, 0.773], [0.000, 0.649, 0.351], [0.500, 0.773, 0.227], [0.649, 0.351, 0.351], [0.500, 0.227, 0.773], [0.500, 0.000, 0.500], [0.000, 0.500, 0.000], [0.500, 0.500, 0.000], [0.000, 0.000, 0.500]],
  "dos_ef_per_ev_cell": 5.83,
  "spacegroup": "I4/mmm",
  "total_magnetization_mub_per_cell": 0.0,
  "vol_a3_per_atom": 12.23,
  "e_form_ev_per_fu": -1.3
}

(19)
{
  "formula": "Nd2BeCu",
  "functional": "PBE",
  "state": "relaxed",
  "lattice_angstrom": [[5.053, 0.000, 0.000], [2.526, 4.376, 0.000], [2.526, 1.459, 4.125]],
  "species": ["Nd", "Nd", "Be", "Cu"],
  "frac_coords": [[0.750, 0.750, 0.750], [0.250, 0.250, 0.250], [0.000, 0.000, 0.000], [0.500, 0.500, 0.500]],
  "dos_ef_per_ev_cell": 3.78,
  "spacegroup": "Fm-3m",
  "total_magnetization_mub_per_cell": 0.0,
  "vol_a3_per_atom": 22.80,
  "relative_energy_mev_per_atom": 19,
  "e_form_ev_per_fu": 0.2
}

(20)
{
  "formula": "NdBeCu11",
  "functional": "PBE",
  "state": "relaxed",
  "lattice_angstrom": [[-1.916, -2.685, 3.465], [-0.917, -6.030, -2.150], [4.478, -2.830, 3.586]],
  "species": ["Cu", "Cu", "Cu", "Cu", "Cu", "Cu", "Cu", "Cu", "Cu", "Cu", "Cu", "Be", "Nd"],
  "frac_coords": [[0.508, 0.236, 0.777], [0.007, 0.356, 0.646], [0.653, 0.356, 0.354], [0.000, 0.500, 0.000], [0.500, 0.000, 0.500], [0.000, 0.000, 0.500], [0.285, 0.236, 0.223], [0.715, 0.764, 0.777], [0.993, 0.644, 0.354], [0.492, 0.764, 0.223], [0.347, 0.644, 0.646], [0.500, 0.500, 0.000], [0.000, 0.000, 0.000]],
  "dos_ef_per_ev_cell": 5.41,
  "spacegroup": "C2/m",
  "total_magnetization_mub_per_cell": 0.0,
  "vol_a3_per_atom": 13.28,
  "e_form_ev_per_fu": -1.1
}